1.
{
  "formula": "CaTa2Pt",
  "functional": "PBE",
  "state": "optimized geometry",
  "spacegroup": "No. 65",
  "e_above_lowest_polymorph_mev_per_atom": 377,
  "lattice_angstrom": [[5.632, 0.022, 0.000], [-2.957, 4.793, 0.000], [0.000, 0.000, 2.828]],
  "species": ["Ca", "Pt", "Ta", "Ta"],
  "frac_coords": [[0.500, 0.000, 0.500], [0.000, 0.500, 0.500], [0.000, 0.000, 0.000], [0.500, 0.500, 0.000]]
}


2.
{
  "formula": "Ca2TaPt",
  "functional": "PBE",
  "state": "optimized geometry",
  "spacegroup": "No. 225",
  "e_above_lowest_polymorph_mev_per_atom": 571,
  "lattice_angstrom": [[-4.733, -0.008, 1.860], [-1.798, 4.110, 2.393], [-3.598, 2.847, -2.192]],
  "species": ["Ca", "Ca", "Pt", "Ta"],
  "frac_coords": [[0.250, 0.250, 0.250], [0.750, 0.750, 0.750], [0.500, 0.500, 0.500], [0.000, 0.000, 0.000]]
}


3.
{
  "formula": "CaTaPt2",
  "functional": "PBE",
  "state": "optimized geometry",
  "spacegroup": "No. 225",
  "e_above_lowest_polymorph_mev_per_atom": 236,
  "lattice_angstrom": [[0.000, 3.333, 3.333], [3.333, 0.000, 3.333], [3.333, 3.333, 0.000]],
  "species": ["Ca", "Pt", "Pt", "Ta"],
  "frac_coords": [[0.000, 0.000, 0.000], [0.250, 0.250, 0.250], [0.750, 0.750, 0.750], [0.500, 0.500, 0.500]]
}


Computed values of E_tot (unit: eV per atom) for the preceding records, in sequence: -7.655 -5.045 -6.917.